Record 1
{
  "formula": "TlAg",
  "functional": "GGA-PBE",
  "state": "optimized geometry",
  "final_energy_ev_per_atom": -2.442,
  "formation_enthalpy_0k_mev_per_atom": 167,
  "crystal_system": "tetragonal",
  "spacegroup": "I4_1/amd",
  "magmom_total_mub_per_fu": 0.00,
  "cell": [[5.648, -0.026, 0.000], [2.160, 5.219, 0.000], [-3.904, -2.596, 3.149]],
  "species": ["Tl", "Ag", "Ag", "Tl"],
  "fractional_positions": [[0.500, 0.500, 0.000], [0.000, 0.000, 0.000], [0.250, 0.750, 0.500], [0.750, 0.250, 0.500]]
}

---

Record 2
{
  "formula": "Na2HgGe",
  "functional": "GGA-PBE",
  "state": "optimized geometry",
  "final_energy_ev_per_atom": -1.820,
  "formation_enthalpy_0k_mev_per_atom": 69,
  "crystal_system": "tetragonal",
  "spacegroup": "I-42d",
  "magmom_total_mub_per_fu": 0.00,
  "cell": [[8.404, 0.000, 0.000], [0.000, 8.404, 0.000], [4.202, 4.202, 2.932]],
  "species": ["Na", "Hg", "Hg", "Na", "Na", "Ge", "Na", "Ge"],
  "fractional_positions": [[0.375, 0.384, 0.750], [0.000, 0.000, 0.000], [0.750, 0.250, 0.500], [0.875, 0.866, 0.750], [0.616, 0.125, 0.250], [0.500, 0.500, 0.000], [0.134, 0.625, 0.250], [0.250, 0.750, 0.500]]
}

---

Record 3
{
  "formula": "Ta7Mo",
  "functional": "GGA-PBE",
  "state": "optimized geometry",
  "final_energy_ev_per_atom": -11.748,
  "formation_enthalpy_0k_mev_per_atom": -23,
  "de_polymorph_ev_per_fu": 0.25,
  "crystal_system": "cubic",
  "spacegroup": "Im-3m",
  "magmom_total_mub_per_fu": 0.00,
  "cell": [[5.721, 0.000, 0.000], [-1.907, 5.394, 0.000], [-1.907, -2.697, 4.671]],
  "species": ["Ta", "Ta", "Mo", "Ta", "Ta", "Ta", "Ta", "Ta"],
  "fractional_positions": [[0.000, 0.500, 0.000], [0.500, 0.500, 0.500], [0.000, 0.000, 0.000], [0.000, 0.500, 0.500], [0.500, 0.500, 0.000], [0.500, 0.000, 0.000], [0.500, 0.000, 0.500], [0.000, 0.000, 0.500]]
}

---

Record 4
{
  "formula": "SmCdPd2",
  "functional": "GGA-PBE",
  "state": "optimized geometry",
  "final_energy_ev_per_atom": -4.613,
  "formation_enthalpy_0k_mev_per_atom": -608,
  "crystal_system": "tetragonal",
  "spacegroup": "P4/mmm",
  "magmom_total_mub_per_fu": 0.00,
  "cell": [[3.492, 0.000, 0.000], [0.000, 3.492, 0.000], [0.000, 0.000, 6.633]],
  "species": ["Pd", "Cd", "Pd", "Sm"],
  "fractional_positions": [[0.000, 0.000, 0.772], [0.500, 0.500, 0.000], [0.000, 0.000, 0.228], [0.500, 0.500, 0.500]]
}

---

Record 5
{
  "formula": "FeReSi2Au",
  "functional": "GGA-PBE",
  "state": "optimized geometry",
  "final_energy_ev_per_atom": -4.822,
  "raw_formation_energy_ev_per_atom": 2.185,
  "crystal_system": "tetragonal",
  "spacegroup": "P4/mmm",
  "magmom_total_mub_per_fu": 2.85,
  "cell": [[4.570, 0.000, 0.000], [0.000, 5.171, 0.000], [0.000, 0.000, 4.570]],
  "species": ["Fe", "Si", "Au", "Si", "Re"],
  "fractional_positions": [[0.500, 0.500, 0.500], [0.000, 0.000, 0.500], [0.000, 0.000, 0.000], [0.500, 0.000, 0.000], [0.000, 0.500, 0.000]]
}

---

Record 6
{
  "formula": "RbCa2Au2",
  "functional": "GGA-PBE",
  "state": "optimized geometry",
  "final_energy_ev_per_atom": -2.675,
  "formation_enthalpy_0k_mev_per_atom": -370,
  "crystal_system": "tetragonal",
  "spacegroup": "I4/mmm",
  "magmom_total_mub_per_fu": 0.00,
  "cell": [[5.543, 0.000, 0.000], [0.000, 5.543, 0.000], [2.772, 2.772, 6.112]],
  "species": ["Ca", "Au", "Rb", "Ca", "Au"],
  "fractional_positions": [[0.335, 0.335, 0.329], [0.750, 0.250, 0.500], [0.000, 0.000, 0.000], [0.665, 0.665, 0.671], [0.250, 0.750, 0.500]]
}

---

Record 7
{
  "formula": "EuScZnPt",
  "functional": "GGA-PBE",
  "state": "optimized geometry",
  "final_energy_ev_per_atom": -6.579,
  "formation_enthalpy_0k_mev_per_atom": -599,
  "crystal_system": "cubic",
  "spacegroup": "F-43m",
  "magmom_total_mub_per_fu": 6.89,
  "cell": [[4.923, 0.000, 0.000], [2.461, 4.263, 0.000], [2.461, 1.421, 4.019]],
  "species": ["Eu", "Sc", "Zn", "Pt"],
  "fractional_positions": [[0.000, 0.000, 0.000], [0.500, 0.500, 0.500], [0.250, 0.250, 0.250], [0.750, 0.750, 0.750]]
}

---

Record 8
{
  "formula": "Be2BN",
  "functional": "GGA-PBE",
  "state": "optimized geometry",
  "final_energy_ev_per_atom": -6.136,
  "raw_formation_energy_ev_per_atom": -0.523,
  "de_polymorph_ev_per_fu": 0.51,
  "crystal_system": "trigonal",
  "spacegroup": "P3m1",
  "magmom_total_mub_per_fu": 0.00,
  "cell": [[2.950, 0.000, 0.000], [-1.475, 2.554, 0.000], [0.000, 0.000, 7.317]],
  "species": ["B", "N", "B", "N", "Be", "Be", "Be", "Be"],
  "fractional_positions": [[0.000, 0.000, 0.117], [0.000, 0.000, 0.893], [0.667, 0.333, 0.196], [0.333, 0.667, 0.551], [0.667, 0.333, 0.467], [0.000, 0.000, 0.675], [0.667, 0.333, 0.929], [0.333, 0.667, 0.282]]
}

---

Record 9
{
  "formula": "NaNi2HgS",
  "functional": "GGA-PBE",
  "state": "optimized geometry",
  "final_energy_ev_per_atom": -3.517,
  "raw_formation_energy_ev_per_atom": -0.055,
  "crystal_system": "tetragonal",
  "spacegroup": "P4/mmm",
  "magmom_total_mub_per_fu": 0.87,
  "cell": [[-3.096, -2.767, -0.849], [1.335, 0.089, -5.158], [2.692, -3.210, 0.642]],
  "species": ["Ni", "Ni", "Na", "S", "Hg"],
  "fractional_positions": [[0.500, 0.000, 0.000], [0.000, 0.000, 0.500], [0.000, 0.500, 0.000], [0.000, 0.000, 0.000], [0.500, 0.500, 0.500]]
}

---

Record 10
{
  "formula": "TlBPt3",
  "functional": "GGA-PBE",
  "state": "optimized geometry",
  "final_energy_ev_per_atom": -5.425,
  "formation_enthalpy_0k_mev_per_atom": 8,
  "de_polymorph_ev_per_fu": 0.61,
  "crystal_system": "cubic",
  "spacegroup": "Pm-3m",
  "magmom_total_mub_per_fu": 0.00,
  "cell": [[-3.850, -0.144, -1.934], [1.913, -0.978, -3.737], [-0.314, -4.195, 0.937]],
  "species": ["Pt", "Pt", "Pt", "B", "Tl"],
  "fractional_positions": [[0.000, 0.500, 0.000], [0.000, 0.000, 0.500], [0.500, 0.000, 0.000], [0.000, 0.000, 0.000], [0.500, 0.500, 0.500]]
}

---

Record 11
{
  "formula": "Na3HPt",
  "functional": "GGA-PBE",
  "state": "optimized geometry",
  "final_energy_ev_per_atom": -2.742,
  "de_polymorph_ev_per_fu": 0.00,
  "crystal_system": "cubic",
  "spacegroup": "Pm-3m",
  "magmom_total_mub_per_fu": 0.00,
  "cell": [[4.505, 0.000, 0.000], [0.000, 4.505, 0.000], [0.000, 0.000, 4.505]],
  "species": ["Pt", "Na", "H", "Na", "Na"],
  "fractional_positions": [[0.500, 0.500, 0.500], [0.500, 0.000, 0.000], [0.000, 0.000, 0.000], [0.000, 0.000, 0.500], [0.000, 0.500, 0.000]]
}

---

Record 12
{
  "formula": "HfPaTiNb",
  "functional": "GGA-PBE",
  "state": "optimized geometry",
  "final_energy_ev_per_atom": -9.256,
  "formation_enthalpy_0k_mev_per_atom": 97,
  "de_polymorph_ev_per_fu": 0.22,
  "crystal_system": "monoclinic",
  "spacegroup": "Pm",
  "magmom_total_mub_per_fu": 0.00,
  "cell": [[2.947, 0.000, 0.728], [0.000, 4.655, 0.000], [0.090, 0.000, 6.008]],
  "species": ["Hf", "Ti", "Nb", "Pa"],
  "fractional_positions": [[0.494, 0.000, 0.159], [0.915, 0.500, 0.411], [0.992, 0.500, 0.900], [0.307, 0.000, 0.669]]
}